DFT (PBE+U) results for crystalline LiVAsO4 at its relaxed geometry.

It has space group Imma (No. 74), with a = 5.742 Å, b = 6.929 Å, c = 8.088 Å, α = 90.00°, β = 90.00° and γ = 90.00°. The inequivalent atoms are Li at (0.000, 0.000, 0.000), V at (0.250, 0.250, 0.250), As at (0.000, 0.250, 0.637), O at (0.000, 0.061, 0.247) and O at (0.243, 0.250, 0.499).

The calculation puts the energy at -6.526 eV per atom. The calculation puts the volume at 11.49 Å³ per atom. The crystal system is orthorhombic.